A relaxed structure of K2PuNi3F12, computed with PBE with a Hubbard U.

## Properties
As for the uncorrected energy: -5.235 eV per atom. Its space-group type is R-3m. For the magnetization, the calculation gives 10.0 μB/f.u. As for the density of states at the Fermi level: 0.87 states/eV per cell.

Cell: 6.925 6.925 6.925 Å, 64.90 64.90 64.90°
Each line ends with the local moment (μB).
Fractional coordinates of all 18 atoms:
F (0.129, 0.616, 0.129)  0.01
F (0.889, 0.266, 0.266)  0.04
F (0.734, 0.111, 0.734)  0.04
F (0.616, 0.129, 0.129)  0.01
F (0.266, 0.266, 0.889)  0.04
F (0.384, 0.871, 0.871)  0.01
F (0.129, 0.129, 0.616)  0.01
F (0.734, 0.734, 0.111)  0.04
F (0.871, 0.871, 0.384)  0.01
F (0.111, 0.734, 0.734)  0.04
F (0.871, 0.384, 0.871)  0.01
F (0.266, 0.889, 0.266)  0.04
Ni (0.000, 0.000, 0.500)  1.83
Ni (0.000, 0.500, 0.000)  1.83
Ni (0.500, 0.000, 0.000)  1.83
Pu (0.000, 0.000, 0.000)  4.15
K (0.390, 0.390, 0.390)  0.00
K (0.610, 0.610, 0.610)  0.00